VASP calculation (PBE-GGA) on a geometry-optimized RbRe2S4 structure.

Structure (POSCAR):
```
RbRe2S4
1.0
-1.072 -1.584 -3.051
2.033 -4.867 1.813
-6.852 0.306 4.372
S Re Rb
4 2 1
Direct
0.352 0.956 0.704
0.824 0.441 0.648
0.648 0.044 0.296
0.176 0.559 0.352
0.755 0.808 0.509
0.245 0.192 0.491
0.500 0.500 0.000
```

Output
* N(E_F): 2.717 states/eV/f.u.
* volume: 157 Å³ per cell
* space group: No. 12
* formation energy without anion corrections: -0.6059 eV/atom
* ΔE to the lowest computed polymorph: 0 meV/atom

***

VASP calculation (PBE-GGA) on a geometry-optimized RbReS2 structure.

Structure (POSCAR):
```
RbReS2
1.0
-2.812 1.822 -5.025
-2.687 -2.728 0.514
-5.870 6.452 3.622
S Re Rb
4 2 2
Direct
0.967 0.651 0.156
0.501 0.651 0.493
0.036 0.151 0.480
0.570 0.150 0.817
0.670 0.150 0.577
0.866 0.651 0.395
0.460 0.151 0.173
0.076 0.650 0.799
```

Output
* N(E_F): 0.608 states/eV/f.u.
* volume: 217 Å³ per cell
* space group: No. 2
* formation energy without anion corrections: -0.5596 eV/atom
* ΔE to the lowest computed polymorph: 0 meV/atom

***

VASP calculation (PBE-GGA) on a geometry-optimized RbRe3S structure.

Structure (POSCAR):
```
RbRe3S
1.0
4.568 0.000 0.000
0.000 4.568 0.000
0.000 0.000 4.568
S Re Rb
1 3 1
Direct
0.000 0.000 0.000
0.500 0.000 0.000
0.000 0.500 0.000
0.000 0.000 0.500
0.500 0.500 0.500
```

Output
* N(E_F): 5.068 states/eV/f.u.
* volume: 95 Å³ per cell
* space group: No. 221
* formation energy without anion corrections: 1.7135 eV/atom
* ΔE to the lowest computed polymorph: 0 meV/atom

***

VASP calculation (PBE-GGA) on a geometry-optimized RbRe2S3 structure.

Structure (POSCAR):
```
RbRe2S3
1.0
-2.258 -1.005 -1.957
6.098 -3.099 -5.443
2.588 -8.777 4.058
Re Rb S
4 2 6
Direct
0.309 0.021 0.618
0.929 0.059 0.858
0.071 0.941 0.142
0.691 0.979 0.382
0.593 0.455 0.186
0.407 0.545 0.814
0.988 0.790 0.976
0.195 0.174 0.391
0.361 0.231 0.722
0.012 0.210 0.024
0.639 0.769 0.278
0.805 0.826 0.609
```

Output
* N(E_F): 1.760 states/eV/f.u.
* volume: 264 Å³ per cell
* space group: No. 12
* formation energy without anion corrections: -0.4190 eV/atom

***

VASP calculation (PBE-GGA) on a geometry-optimized RbRe2S structure.

Structure (POSCAR):
```
RbRe2S
1.0
4.976 0.000 0.000
0.000 4.976 0.000
2.488 2.488 8.267
Re Rb S
4 2 2
Direct
0.375 0.625 0.250
0.375 0.625 0.750
0.875 0.625 0.750
0.375 0.125 0.250
0.000 0.000 0.000
0.750 0.250 0.500
0.250 0.750 0.500
0.500 0.500 0.000
```

Output
* N(E_F): 3.635 states/eV/f.u.
* volume: 205 Å³ per cell
* space group: No. 141
* formation energy without anion corrections: 1.0884 eV/atom

***

VASP calculation (PBE-GGA) on a geometry-optimized RbRe2S4 structure.

Structure (POSCAR):
```
RbRe2S4
1.0
6.410 0.180 -0.105
-0.285 6.406 0.094
-2.951 -3.386 6.633
S Re Rb
8 4 2
Direct
0.287 0.552 0.111
0.930 0.186 0.366
0.824 0.559 0.111
0.448 0.713 0.889
0.441 0.177 0.889
0.814 0.070 0.634
0.820 0.564 0.634
0.436 0.180 0.366
0.581 0.369 0.737
0.631 0.419 0.263
0.633 0.844 0.263
0.156 0.367 0.737
0.250 0.750 0.500
0.000 0.000 0.000
```

Output
* N(E_F): 2.381 states/eV/f.u.
* volume: 273 Å³ per cell
* space group: No. 22
* formation energy without anion corrections: -0.1931 eV/atom
* ΔE to the lowest computed polymorph: 413 meV/atom

***

VASP calculation (PBE-GGA) on a geometry-optimized RbReS2 structure.

Structure (POSCAR):
```
RbReS2
1.0
0.524 -0.467 4.613
-1.834 3.172 2.890
-3.666 -1.113 2.663
Re S Rb
1 2 1
Direct
0.500 0.500 0.500
0.750 0.750 0.750
0.250 0.250 0.250
0.000 0.000 0.000
```

Output
* N(E_F): 0.000 states/eV/f.u.
* volume: 72 Å³ per cell
* space group: No. 225
* formation energy without anion corrections: 0.7083 eV/atom
* ΔE to the lowest computed polymorph: 1268 meV/atom

***

VASP calculation (PBE-GGA) on a geometry-optimized RbRe3S structure.

Structure (POSCAR):
```
RbRe3S
1.0
-4.164 -0.193 2.270
-1.736 -2.795 -3.422
1.475 -3.832 2.381
Re Rb S
3 1 1
Direct
0.500 0.000 0.000
0.000 0.000 0.500
0.000 0.500 0.000
0.000 0.000 0.000
0.500 0.500 0.500
```

Output
* N(E_F): 8.852 states/eV/f.u.
* volume: 107 Å³ per cell
* space group: No. 221
* formation energy without anion corrections: 4.5056 eV/atom
* ΔE to the lowest computed polymorph: 2792 meV/atom

***

VASP calculation (PBE-GGA) on a geometry-optimized RbReSiS2 structure.

Structure (POSCAR):
```
RbReSiS2
1.0
5.214 0.000 0.000
0.000 5.116 0.000
0.000 0.000 5.214
Re Rb Si S
1 1 1 2
Direct
0.500 0.500 0.500
0.000 0.000 0.000
0.000 0.500 0.000
0.500 0.000 0.000
0.000 0.000 0.500
```

Output
* N(E_F): 12.394 states/eV/f.u.
* volume: 139 Å³ per cell
* space group: No. 123
* formation energy without anion corrections: 2.9205 eV/atom

***

VASP calculation (PBE-GGA) on a geometry-optimized Rb3Sm3ReS8 structure.

Structure (POSCAR):
```
Rb3Sm3ReS8
1.0
8.032 0.000 0.000
-4.016 6.956 -0.030
0.000 -4.605 7.874
S Re Rb Sm
8 1 3 3
Direct
0.209 0.417 0.680
0.732 0.465 0.697
0.268 0.535 0.303
0.791 0.029 0.320
0.791 0.583 0.320
0.238 0.029 0.320
0.762 0.971 0.680
0.209 0.971 0.680
0.000 0.000 0.500
0.000 0.500 0.000
0.000 0.000 0.000
0.500 0.500 0.000
0.000 0.500 0.500
0.500 0.500 0.500
0.500 0.000 0.500
```

Output
* volume: 439 Å³ per cell
* space group: No. 166
* formation energy without anion corrections: -1.4387 eV/atom

***

VASP calculation (PBE-GGA) on a geometry-optimized RbTaRe2S structure.

Structure (POSCAR):
```
RbTaRe2S
1.0
5.021 0.000 0.000
0.000 5.074 0.000
0.000 0.000 5.021
S Re Rb Ta
1 2 1 1
Direct
0.000 0.500 0.000
0.000 0.000 0.500
0.500 0.000 0.000
0.500 0.500 0.500
0.000 0.000 0.000
```

Output
* N(E_F): 2.803 states/eV/f.u.
* volume: 128 Å³ per cell
* space group: No. 123
* formation energy without anion corrections: 1.5175 eV/atom

***

VASP calculation (PBE-GGA) on a geometry-optimized Rb3Tb3ReS8 structure.

Structure (POSCAR):
```
Rb3Tb3ReS8
1.0
-2.339 2.797 -7.016
-5.023 -4.154 4.473
1.720 8.463 2.801
Tb S Rb Re
3 8 3 1
Direct
0.500 0.500 0.500
0.500 0.000 0.500
0.000 0.500 0.500
0.242 0.032 0.321
0.789 0.032 0.321
0.211 0.422 0.679
0.211 0.968 0.679
0.789 0.578 0.321
0.731 0.462 0.693
0.269 0.538 0.307
0.758 0.968 0.679
0.500 0.500 0.000
0.000 0.500 0.000
0.000 0.000 0.000
0.000 0.000 0.500
```

Output
* volume: 425 Å³ per cell
* space group: No. 166
* formation energy without anion corrections: -1.4644 eV/atom

***

Q: Look up the volume of the fifth one.
A: 205 Å³ per cell